Entry 1:
{"formula": "Ta3Co4", "functional": "PBE", "state": "relaxed", "lattice": [[-1.562, 1.562, 9.996], [1.562, -1.562, 9.996], [1.562, 1.562, -9.996]], "species": ["Ta", "Ta", "Ta", "Co", "Co", "Co", "Co"], "fractional_positions": [[0.000, 0.000, 0.000], [0.703, 0.703, 0.000], [0.297, 0.297, 0.000], [0.862, 0.862, 0.000], [0.566, 0.566, 0.000], [0.434, 0.434, 0.000], [0.138, 0.138, 0.000]], "formation_enthalpy_0k_mev_per_atom": -91.7, "dos_at_fermi_per_ev_cell": 10.21, "spacegroup": "I4/mmm"}


Entry 2:
{"formula": "Pm2ErTm4Th", "functional": "PBE", "state": "relaxed", "lattice": [[-3.343, -2.086, -3.159], [2.689, -4.258, -0.034], [-2.517, -7.602, 7.684]], "species": ["Pm", "Pm", "Er", "Tm", "Tm", "Tm", "Tm", "Th"], "fractional_positions": [[0.000, 0.000, 0.000], [0.500, 0.000, 0.500], [0.500, 0.500, 0.000], [0.000, 0.752, 0.748], [0.000, 0.248, 0.252], [0.500, 0.748, 0.252], [0.500, 0.252, 0.748], [0.000, 0.500, 0.500]], "formation_enthalpy_0k_mev_per_atom": 33.1, "dos_at_fermi_per_ev_cell": 11.72, "spacegroup": "Pmmm"}


Entry 3:
{"formula": "YTm2GaN", "functional": "PBE", "state": "relaxed", "lattice": [[-3.082, -0.431, -3.594], [3.331, -1.947, -2.624], [-1.234, -4.219, 1.565]], "species": ["Y", "Tm", "Tm", "Ga", "N"], "fractional_positions": [[0.500, 0.000, 0.000], [0.000, 0.000, 0.500], [0.000, 0.500, 0.000], [0.500, 0.500, 0.500], [0.000, 0.000, 0.000]], "dos_at_fermi_per_ev_cell": 2.35, "spacegroup": "P4/mmm", "e_form_raw_kj_per_mol_atoms": -96.8}


Entry 4:
{"formula": "Ba2SrDy3O8", "functional": "PBE", "state": "relaxed", "lattice": [[-1.678, 4.845, 4.871], [1.392, -1.218, 6.826], [5.432, 3.793, 3.233]], "species": ["Ba", "Ba", "Sr", "Dy", "Dy", "Dy", "O", "O", "O", "O", "O", "O", "O", "O"], "fractional_positions": [[0.124, 0.124, 0.628], [0.500, 0.500, 0.501], [0.880, 0.880, 0.361], [0.499, 0.999, 0.003], [0.999, 0.499, 0.003], [0.499, 0.499, 0.003], [0.269, 0.269, 0.193], [0.733, 0.733, 0.802], [0.250, 0.250, 0.807], [0.694, 0.250, 0.807], [0.250, 0.694, 0.807], [0.752, 0.294, 0.203], [0.294, 0.752, 0.203], [0.752, 0.752, 0.203]], "dos_at_fermi_per_ev_cell": 10.41, "spacegroup": "R3m", "e_form_raw_kj_per_mol_atoms": -284.4}


Entry 5:
{"formula": "Na10B13C7", "functional": "PBE", "state": "relaxed", "lattice": [[12.729, -0.041, 0.000], [-12.403, 2.861, 0.000], [0.000, 0.000, 8.513]], "species": ["Na", "Na", "Na", "Na", "Na", "Na", "Na", "Na", "Na", "Na", "B", "B", "B", "B", "B", "B", "B", "B", "B", "B", "B", "B", "B", "C", "C", "C", "C", "C", "C", "C"], "fractional_positions": [[0.200, 0.800, 0.002], [0.200, 0.800, 0.498], [0.399, 0.601, 0.998], [0.399, 0.601, 0.502], [0.000, 0.000, 0.998], [0.000, 0.000, 0.502], [0.600, 0.400, 0.000], [0.600, 0.400, 0.500], [0.800, 0.200, 0.000], [0.800, 0.200, 0.500], [0.733, 0.267, 0.250], [0.734, 0.266, 0.750], [0.273, 0.727, 0.250], [0.467, 0.533, 0.750], [0.927, 0.073, 0.750], [0.461, 0.539, 0.250], [0.531, 0.469, 0.250], [0.540, 0.460, 0.750], [0.070, 0.930, 0.250], [0.137, 0.863, 0.750], [0.664, 0.336, 0.250], [0.330, 0.670, 0.750], [0.867, 0.133, 0.250], [0.266, 0.734, 0.750], [0.931, 0.069, 0.250], [0.071, 0.929, 0.750], [0.133, 0.867, 0.250], [0.668, 0.332, 0.750], [0.336, 0.664, 0.250], [0.863, 0.137, 0.750]], "formation_enthalpy_0k_mev_per_atom": 93.7, "dos_at_fermi_per_ev_cell": 7.61, "spacegroup": "Amm2"}


Entry 6:
{"formula": "ZnNi7Ge2As2", "functional": "PBE", "state": "relaxed", "lattice": [[-2.055, 1.962, -2.083], [2.134, -0.740, -2.704], [-7.595, -10.815, -4.192]], "species": ["Zn", "Ni", "Ni", "Ni", "Ni", "Ni", "Ni", "Ni", "Ge", "Ge", "As", "As"], "fractional_positions": [[0.000, 0.000, 0.000], [0.500, 0.500, 0.000], [0.388, 0.388, 0.414], [0.612, 0.612, 0.586], [0.964, 0.464, 0.135], [0.464, 0.964, 0.135], [0.536, 0.036, 0.865], [0.036, 0.536, 0.865], [0.869, 0.869, 0.421], [0.131, 0.131, 0.579], [0.565, 0.565, 0.756], [0.435, 0.435, 0.244]], "formation_enthalpy_0k_mev_per_atom": -128.3, "dos_at_fermi_per_ev_cell": 7.51, "spacegroup": "C2/m"}


Entry 7:
{"formula": "Ba2TaNi", "functional": "PBE", "state": "relaxed", "lattice": [[-2.860, -2.113, 4.371], [-5.608, 0.502, 0.205], [-3.263, -4.540, -0.698]], "species": ["Ni", "Ba", "Ba", "Ta"], "fractional_positions": [[0.000, 0.000, 0.000], [0.250, 0.250, 0.250], [0.750, 0.750, 0.750], [0.500, 0.500, 0.500]], "formation_enthalpy_0k_mev_per_atom": 1170.8, "dos_at_fermi_per_ev_cell": 4.55, "spacegroup": "Fm-3m"}


Entry 8:
{"formula": "RbCa2TmBr8", "functional": "PBE", "state": "relaxed", "lattice": [[7.037, 0.020, -0.004], [0.069, 6.726, -0.005], [0.008, 0.013, 9.177]], "species": ["Rb", "Ca", "Ca", "Tm", "Br", "Br", "Br", "Br", "Br", "Br", "Br", "Br"], "fractional_positions": [[0.000, 0.000, 0.500], [0.500, 0.500, 0.749], [0.500, 0.500, 0.251], [0.000, 0.000, 0.000], [0.165, 0.759, 0.209], [0.676, 0.744, 0.000], [0.835, 0.241, 0.209], [0.835, 0.241, 0.791], [0.324, 0.256, 0.000], [0.165, 0.759, 0.791], [0.618, 0.729, 0.500], [0.382, 0.271, 0.500]], "dos_at_fermi_per_ev_cell": 0.00, "spacegroup": "P-1", "e_form_raw_kj_per_mol_atoms": -182.2}


Entry 9:
{"formula": "MnCrOs2", "functional": "PBE", "state": "relaxed", "lattice": [[2.635, 0.015, 0.000], [-1.110, 2.390, 0.000], [0.000, 0.000, 8.509]], "species": ["Cr", "Mn", "Os", "Os"], "fractional_positions": [[0.000, 0.000, 0.512], [0.500, 0.500, 0.737], [0.000, 0.000, 0.986], [0.500, 0.500, 0.266]], "formation_enthalpy_0k_mev_per_atom": 396.2, "dos_at_fermi_per_ev_cell": 5.53, "spacegroup": "Cmm2"}


Entry 10:
{"formula": "Sc2PaAs3", "functional": "PBE", "state": "relaxed", "lattice": [[-1.898, 2.106, 2.787], [-3.845, -4.092, 0.474], [6.138, -1.593, 2.548]], "species": ["Sc", "Sc", "Pa", "As", "As", "As"], "fractional_positions": [[0.835, 0.835, 0.170], [0.165, 0.165, 0.830], [0.500, 0.500, 0.500], [0.826, 0.326, 0.153], [0.174, 0.674, 0.847], [0.500, 0.000, 0.500]], "formation_enthalpy_0k_mev_per_atom": -1253.7, "dos_at_fermi_per_ev_cell": 4.95, "spacegroup": "Immm"}


Entry 11:
{"formula": "MgCuRu3", "functional": "PBE", "state": "relaxed", "lattice": [[4.498, 0.000, 0.000], [0.000, 4.498, 0.000], [0.000, 0.000, 4.498]], "species": ["Ru", "Ru", "Ru", "Mg", "Cu"], "fractional_positions": [[0.000, 0.500, 0.000], [0.000, 0.000, 0.500], [0.500, 0.000, 0.000], [0.500, 0.500, 0.500], [0.000, 0.000, 0.000]], "formation_enthalpy_0k_mev_per_atom": 1376.6, "dos_at_fermi_per_ev_cell": 8.18, "spacegroup": "Pm-3m"}


Entry 12:
{"formula": "Sc4MoRu", "functional": "PBE", "state": "relaxed", "lattice": [[-5.390, 0.739, 0.504], [-3.015, 1.205, -4.395], [-3.467, -3.702, -2.033]], "species": ["Sc", "Sc", "Sc", "Sc", "Mo", "Ru"], "fractional_positions": [[0.875, 0.375, 0.375], [0.375, 0.375, 0.875], [0.375, 0.875, 0.375], [0.375, 0.375, 0.375], [0.750, 0.750, 0.750], [0.000, 0.000, 0.000]], "formation_enthalpy_0k_mev_per_atom": 631.2, "dos_at_fermi_per_ev_cell": 8.73, "spacegroup": "F-43m"}